*A*
The following is a DFT calculation (PBE-GGA) of a relaxed structure of DyMgGa4.

The space group is F-43m (No. 216) and the conventional cell measures 7.7633, 7.7633 and 7.7633 Å, with angles of 90.00, 90.00 and 90.00 degrees. The asymmetric unit holds Dy at (0.0000, 0.0000, 0.0000), Mg at (0.2500, 0.2500, 0.7500) and Ga at (0.1252, 0.1252, 0.3748).

The calculation puts the magnetization at 0.0 μB per cell.

=====

*B*
The following is a DFT calculation (PBE-GGA) of a relaxed structure of DyMgGa4.

The space group is Immm (No. 71) and the conventional cell measures 4.3452, 6.6730 and 8.0515 Å, with angles of 90.00, 90.00 and 90.00 degrees. The asymmetric unit holds Dy at (0.0000, 0.0000, 0.0000), Mg at (0.0000, 0.5000, 0.0000) and Ga at (0.0000, 0.2134, 0.3356).

The calculation puts the magnetization at 0.0 μB per cell.

=====

Which of them is most stable, and which least? Most stable: *B*; least stable: *A*.

=====

*A*
The following is a DFT calculation (PBE-GGA) of a relaxed structure of DyMg2Ga.

The space group is P4/mmm (No. 123) and the conventional cell measures 4.3351, 4.3351 and 4.7821 Å, with angles of 90.00, 90.00 and 90.00 degrees. The asymmetric unit holds Dy at (0.0000, 0.0000, 0.0000), Mg at (0.0000, 0.5000, 0.5000) and Ga at (0.5000, 0.5000, 0.0000).

The calculation puts the magnetization at 0.0 μB per cell.

=====

*B*
The following is a DFT calculation (PBE-GGA) of a relaxed structure of DyMg2Ga.

The space group is R-3m (No. 166, hexagonal axes) and the conventional cell measures 3.1993, 3.1993 and 32.9289 Å, with angles of 90.00, 90.00 and 120.00 degrees. The asymmetric unit holds Dy at (0.0000, 0.0000, 0.0000), Mg at (0.0000, 0.0000, 0.0976) and Ga at (0.0000, 0.0000, 0.5000).

The calculation puts the magnetization at 0.0 μB per cell.

=====

Which of them is most stable, and which least? Most stable: *A*; least stable: *B*.

=====

*A*
The following is a DFT calculation (PBE-GGA) of a relaxed structure of Nd3DyGa2.

The space group is C2/m (No. 12) and the conventional cell measures 17.5224, 4.5724 and 9.3079 Å, with angles of 90.00, 113.48 and 90.00 degrees. The asymmetric unit holds Nd at (0.0440, 0.0000, 0.1880), Nd at (0.1510, 0.5000, 0.9779), Nd at (0.1791, 0.5000, 0.4305), Dy at (0.1166, 0.0000, 0.6394), Ga at (0.0059, 0.5000, 0.6426) and Ga at (0.2339, 0.0000, 0.2161).

The calculation puts the magnetization at 0.0 μB per cell.

=====

*B*
The following is a DFT calculation (PBE-GGA) of a relaxed structure of Nd3DyGa2.

The space group is Pmc2_1 (No. 26) and the conventional cell measures 5.1426, 9.6940 and 6.6666 Å, with angles of 90.00, 90.00 and 90.00 degrees. The asymmetric unit holds Nd at (0.0000, 0.0493, 0.0000), Nd at (0.0000, 0.3342, 0.3350), Nd at (0.5000, 0.1755, 0.7033), Dy at (0.5000, 0.4454, 0.0367), Ga at (0.0000, 0.3520, 0.8151) and Ga at (0.5000, 0.1501, 0.2281).

The calculation puts the magnetization at 0.0 μB per cell.

=====

Which of them is most stable, and which least? Most stable: *B*; least stable: *A*.

=====

*A*
The following is a DFT calculation (PBE-GGA) of a relaxed structure of NdDy2Ga.

The space group is R-3m (No. 166, hexagonal axes) and the conventional cell measures 3.5112, 3.5112 and 33.9481 Å, with angles of 90.00, 90.00 and 120.00 degrees. The asymmetric unit holds Nd at (0.0000, 0.0000, 0.0000), Dy at (0.0000, 0.0000, 0.1030) and Ga at (0.0000, 0.0000, 0.5000).

The calculation puts the magnetization at 0.0 μB per cell.

=====

*B*
The following is a DFT calculation (PBE-GGA) of a relaxed structure of NdDy2Ga.

The space group is P4/mmm (No. 123) and the conventional cell measures 3.5434, 3.5434 and 8.9849 Å, with angles of 90.00, 90.00 and 90.00 degrees. The asymmetric unit holds Nd at (0.0000, 0.0000, 0.0000), Dy at (0.5000, 0.5000, 0.2949) and Ga at (0.0000, 0.0000, 0.5000).

The calculation puts the magnetization at 0.0 μB per cell.

=====

Which of them is most stable, and which least? Most stable: *B*; least stable: *A*.

=====

*A*
The following is a DFT calculation (PBE-GGA) of a relaxed structure of NdDy2Ga.

The space group is P4/mmm (No. 123) and the conventional cell measures 4.7844, 4.7844 and 4.7384 Å, with angles of 90.00, 90.00 and 90.00 degrees. The asymmetric unit holds Nd at (0.0000, 0.0000, 0.0000), Dy at (0.0000, 0.5000, 0.5000) and Ga at (0.5000, 0.5000, 0.0000).

The calculation puts the magnetization at 0.0 μB per cell.

=====

*B*
The following is a DFT calculation (PBE-GGA) of a relaxed structure of NdDy2Ga.

The space group is Cmcm (No. 63) and the conventional cell measures 4.2888, 12.1545 and 8.9947 Å, with angles of 90.00, 90.00 and 90.00 degrees. The asymmetric unit holds Nd at (0.0000, 0.0594, 0.2500), Dy at (0.0000, 0.3549, 0.0554) and Ga at (0.0000, 0.2495, 0.7500).

The calculation puts the magnetization at 0.0 μB per cell.

=====

*C*
The following is a DFT calculation (PBE-GGA) of a relaxed structure of NdDy2Ga.

The space group is R3m (No. 160, hexagonal axes) and the conventional cell measures 3.6310, 3.6310 and 30.9142 Å, with angles of 90.00, 90.00 and 120.00 degrees. The asymmetric unit holds Nd at (0.0000, 0.0000, 0.0000), Dy at (0.0000, 0.0000, 0.2366), Dy at (0.0000, 0.0000, 0.4307) and Ga at (0.0000, 0.0000, 0.8340).

The calculation puts the magnetization at 0.0 μB per cell.

=====

Which of them is most stable, and which least? Most stable: *B*; least stable: *C*.

=====

*A*
The following is a DFT calculation (PBE-GGA) of a relaxed structure of NdDyGa.

The space group is P-6m2 (No. 187) and the conventional cell measures 4.9251, 4.9251 and 8.7234 Å, with angles of 90.00, 90.00 and 120.00 degrees. The asymmetric unit holds Nd at (0.0000, 0.0000, 0.2237), Dy at (0.3333, 0.6667, 0.0000), Dy at (0.6667, 0.3333, 0.5000) and Ga at (0.3333, 0.6667, 0.3513).

The calculation puts the magnetization at 0.0 μB per cell.

=====

*B*
The following is a DFT calculation (PBE-GGA) of a relaxed structure of NdDyGa.

The space group is F-43m (No. 216) and the conventional cell measures 7.1184, 7.1184 and 7.1184 Å, with angles of 90.00, 90.00 and 90.00 degrees. The asymmetric unit holds Nd at (0.0000, 0.0000, 0.0000), Dy at (0.0000, 0.0000, 0.5000) and Ga at (0.2500, 0.2500, 0.7500).

The calculation puts the magnetization at 0.0 μB per cell.

=====

Which of them is most stable, and which least? Most stable: *B*; least stable: *A*.

=====

*A*
The following is a DFT calculation (PBE-GGA) of a relaxed structure of NdDyGa.

The space group is P-62m (No. 189) and the conventional cell measures 7.9907, 7.9907 and 4.4882 Å, with angles of 90.00, 90.00 and 120.00 degrees. The asymmetric unit holds Nd at (0.0000, 0.6000, 0.0000), Dy at (0.0000, 0.2665, 0.5000), Ga at (0.0000, 0.0000, 0.0000) and Ga at (0.3333, 0.6667, 0.5000).

The calculation puts the magnetization at 0.5 μB per cell.

=====

*B*
The following is a DFT calculation (PBE-GGA) of a relaxed structure of NdDyGa.

The space group is I4mm (No. 107) and the conventional cell measures 3.5345, 3.5345 and 13.2963 Å, with angles of 90.00, 90.00 and 90.00 degrees. The asymmetric unit holds Nd at (0.0000, 0.0000, 0.0000), Dy at (0.0000, 0.0000, 0.2884) and Ga at (0.0000, 0.0000, 0.6519).

The calculation puts the magnetization at 0.0 μB per cell.

=====

Which of them is most stable, and which least? Most stable: *A*; least stable: *B*.

=====

*A*
The following is a DFT calculation (PBE-GGA) of a relaxed structure of NdDy2Ga2.

The space group is C2/m (No. 12) and the conventional cell measures 12.5786, 3.7896 and 5.8530 Å, with angles of 90.00, 102.82 and 90.00 degrees. The asymmetric unit holds Nd at (0.0000, 0.0000, 0.0000), Dy at (0.1384, 0.5000, 0.5689) and Ga at (0.2073, 0.5000, 0.1125).

The calculation puts the magnetization at 0.0 μB per cell.

=====

*B*
The following is a DFT calculation (PBE-GGA) of a relaxed structure of NdDy2Ga2.

The space group is P4/mbm (No. 127) and the conventional cell measures 7.7143, 7.7143 and 4.3775 Å, with angles of 90.00, 90.00 and 90.00 degrees. The asymmetric unit holds Nd at (0.0000, 0.0000, 0.0000), Dy at (0.1737, 0.3263, 0.5000) and Ga at (0.1181, 0.6181, 0.0000).

The calculation puts the magnetization at 0.0 μB per cell.

=====

Which of them is most stable, and which least? Most stable: *B*; least stable: *A*.